Version a
Material: ZrGeBr2
Method: DFT, PBE
State: relaxed

Lattice parameters (Å, degrees): 10.072 10.072 10.072 19.45 19.45 19.45
Sites, in units of the cell vectors:
Zr 0.000 0.000 0.000
Ge 0.500 0.500 0.500
Br 0.400 0.400 0.400
Br 0.600 0.600 0.600

Version b
Material: ZrGeBr2
Method: DFT, PBE
State: relaxed

Lattice parameters (Å, degrees): 4.938 4.938 4.938 60.00 60.00 60.00
Sites, in units of the cell vectors:
Zr 0.000 0.000 0.000
Ge 0.500 0.500 0.500
Br 0.250 0.250 0.250
Br 0.750 0.750 0.750

Version c
Material: ZrGeBr2
Method: DFT, PBE
State: relaxed

Lattice parameters (Å, degrees): 7.386 7.386 7.386 97.64 97.64 137.25
Sites, in units of the cell vectors:
Zr 0.000 0.000 0.000
Zr 0.750 0.250 0.500
Ge 0.250 0.750 0.500
Ge 0.500 0.500 0.000
Br 0.375 0.020 0.145
Br 0.770 0.625 0.645
Br 0.875 0.230 0.855
Br 0.980 0.125 0.355

What is the stability order? It is version a, version c, version b, from most stable to least stable.

Version a
Material: Zr2Ge2Br
Method: DFT, PBE
State: relaxed

Lattice parameters (Å, degrees): 7.595 7.595 3.586 90.00 90.00 90.00
Sites, in units of the cell vectors:
Zr 0.171 0.329 0.000
Zr 0.329 0.829 0.000
Zr 0.671 0.171 0.000
Zr 0.829 0.671 0.000
Ge 0.121 0.621 0.500
Ge 0.379 0.121 0.500
Ge 0.621 0.879 0.500
Ge 0.879 0.379 0.500
Br 0.000 0.000 0.000
Br 0.500 0.500 0.000

Version b
Material: Zr2Ge2Br
Method: DFT, PBE
State: relaxed

Lattice parameters (Å, degrees): 7.861 7.861 7.861 152.28 152.28 39.60
Sites, in units of the cell vectors:
Zr 0.111 0.111 0.000
Zr 0.889 0.889 0.000
Ge 0.250 0.750 0.500
Ge 0.750 0.250 0.500
Br 0.500 0.500 0.000

What is the stability order? It is version a, version b, from most stable to least stable.

Version a
Material: H2Br
Method: DFT, PBE
State: relaxed

Lattice parameters (Å, degrees): 4.501 4.501 4.501 103.79 103.79 121.54
Sites, in units of the cell vectors:
H 0.101 0.101 0.000
H 0.899 0.899 0.000
Br 0.500 0.500 0.000

Version b
Material: H2Br
Method: DFT, PBE
State: relaxed

Lattice parameters (Å, degrees): 7.400 7.400 5.392 110.89 110.89 36.74
Sites, in units of the cell vectors:
H 0.000 0.000 0.000
H 0.022 0.022 0.150
H 0.693 0.693 0.925
H 0.736 0.736 0.466
Br 0.614 0.614 0.652
Br 0.815 0.815 0.347

Version c
Material: H2Br
Method: DFT, PBE
State: relaxed

Lattice parameters (Å, degrees): 2.715 3.031 6.032 91.07 91.17 91.25
Sites, in units of the cell vectors:
H 0.097 0.085 0.017
H 0.903 0.915 0.983
Br 0.500 0.500 0.500

Version d
Material: H2Br
Method: DFT, PBE
State: relaxed

Lattice parameters (Å, degrees): 4.181 6.397 6.474 69.19 76.50 80.06
Sites, in units of the cell vectors:
H 0.047 0.004 0.041
H 0.424 0.725 0.806
H 0.576 0.275 0.194
H 0.953 0.996 0.959
Br 0.252 0.318 0.317
Br 0.748 0.682 0.683

What is the stability order? It is version b, version d, version c, version a, from most stable to least stable.

Version a
Material: Hf2HBr
Method: DFT, PBE
State: relaxed

Lattice parameters (Å, degrees): 6.312 6.312 6.312 128.51 128.51 75.81
Sites, in units of the cell vectors:
Hf 0.027 0.625 0.902
Hf 0.375 0.277 0.402
Hf 0.723 0.125 0.098
Hf 0.875 0.973 0.598
H 0.000 0.000 0.000
H 0.750 0.250 0.500
Br 0.250 0.750 0.500
Br 0.500 0.500 0.000

Version b
Material: Hf2HBr
Method: DFT, PBE
State: relaxed

Lattice parameters (Å, degrees): 4.578 4.578 4.578 60.00 60.00 60.00
Sites, in units of the cell vectors:
Hf 0.250 0.250 0.250
Hf 0.750 0.750 0.750
H 0.000 0.000 0.000
Br 0.500 0.500 0.500

What is the stability order? It is version a, version b, from most stable to least stable.